Crystalline MgTaBr2 at its relaxed geometry, computed with PBE.

Computed properties:
The total magnetization comes out at 0.0002 μB/atom. Its space group is No. 12. The crystal system is monoclinic. As for the total energy: -3.927 eV per atom. The calculated density is 7.0 Mg/m³. For the raw formation energy, the calculation gives 271 meV/atom.

extended XYZ file:
```
4
Lattice="3.200 -4.582 0.000 3.200 4.582 0.000 -1.346 0.000 2.972" Properties=species:S:1:pos:R:3 pbc="T T T"
Mg 0.000 0.000 0.000
Ta 3.200 0.000 0.000
Br 1.600 2.291 0.000
Br 1.600 -2.291 0.000
```